Record 1
Na4SiPbAu2 (PBE-GGA, relaxed); space group = P-4m2, No. 115
1.0
-2.2015 0.3232 4.2199
-3.6222 -2.6041 -1.6902
3.3252 -6.0520 2.1982
Au Na Pb Si
2 4 1 1
Cartesian
-0.1579 -1.5544 2.7332
0.5713 -5.6381 0.7298
-2.9118 -1.1405 1.2648
-0.9121 -2.9382 -0.2508
1.6626 -3.0260 1.0991
1.3255 -4.2542 3.7139
0.0000 0.0000 0.0000
-1.2492 -4.1664 2.3640

Record 2
PuTePb (PBE-GGA, relaxed); space group = F-43m, No. 216; total magnetization = 6.1 μB/f.u.
1.0
0.6786 -4.7265 2.0313
0.5830 -0.5619 5.1255
-3.7736 -2.1796 2.8170
Pb Pu Te
1 1 1
Cartesian
-0.6280 -1.8670 2.4935
-1.8840 -5.6010 7.4803
0.0000 0.0000 0.0000

Record 3
Hf4Mo2Pb3N3 (PBE-GGA, relaxed); space group = C2/c, No. 15; total magnetization = 0.0 μB/f.u.
1.0
-3.6800 -3.0213 -3.2185
5.1134 1.5774 -2.1962
3.5416 -12.0042 7.2192
Hf Mo N Pb
8 4 6 6
Cartesian
0.6295 -1.2538 -0.5922
-0.0674 -2.6560 -3.3040
2.7387 -5.2275 1.0328
1.8221 -6.8102 -1.8711
3.1530 -6.6380 3.6756
2.2364 -8.2206 0.7718
5.0424 -10.7921 5.1085
4.3456 -12.1943 2.3968
3.0090 -1.0755 -3.1527
-0.3224 -6.7955 0.8948
5.2975 -6.6526 0.9097
1.9660 -12.3726 4.9572
-2.2359 -2.3083 -3.1580
0.7167 -0.7219 -2.7074
3.6693 0.8644 -2.2567
1.5070 -6.6902 2.1761
4.3275 -5.2134 2.5115
3.4680 -6.7579 -0.3716
3.3703 -2.6709 -0.5421
-2.4534 -5.7423 -1.1153
0.4107 -4.3016 -0.7586
4.5643 -9.1466 2.5631
2.3151 -9.2833 5.1161
1.6048 -10.7772 2.3466

no.,DFT total energy (eV/cell)
1,-22.05
2,-21.60
3,-208.21